(1)
La4Ru5 PBE-GGA relaxed; DFT formation energy = 0.054 eV/atom; crystal system = tetragonal
1.0
-4.5974 4.5974 2.2971
4.5974 -4.5974 2.2971
4.5974 4.5974 -2.2971
La Ru
4 5
Direct
0.0000 0.7085 0.7085
0.0000 0.2915 0.2915
0.7085 0.0000 0.7085
0.2915 0.0000 0.2915
0.0000 0.0000 0.0000
0.6472 0.6472 0.2944
0.3528 0.6472 0.0000
0.3528 0.3528 0.7056
0.6472 0.3528 0.0000

---

(2)
LaAlNiPt PBE-GGA relaxed; DFT formation energy = -0.846 eV/atom; crystal system = monoclinic
1.0
4.3106 0.0000 0.0000
-2.1553 3.7350 0.0006
0.0000 -2.4827 4.9904
La Pt Ni Al
1 1 1 1
Direct
0.6177 0.2354 0.4946
0.4139 0.8278 0.8835
0.8168 0.6337 0.0935
0.1179 0.2358 0.9957

---

Number 1: V 194.2 Å³/cell, mass density 9.07 g/cm³. Number 2: V 80.4 Å³/cell, mass density 8.67 g/cm³.